Tm2CoNi | GGA-PBE | relaxed

```
Tm2CoNi
1.0
3.933 0.000 0.000
0.000 3.771 0.000
0.000 -1.886 5.125
Tm Co Ni
2 1 1
Direct
0.000 0.982 0.964
0.500 0.267 0.534
0.000 0.694 0.389
0.500 0.556 0.112
```

Output
* energy relative to the lowest polymorph listed for this composition: 5 meV/atom
* energy relative to the elements: -366 meV/atom
* DFT total energy: -23.294 eV/cell